Record 1
Below is a relaxed structure of SrNdSn6, with properties calculated at the PBE level.

The space-group type is No. 123. Its formation energy from the elements is -44 kJ per mole of atoms.

The structure in POSCAR format:
```
SrNdSn6
1.0
-3.2205 1.0382 3.3813
-3.4389 0.1508 -3.3217
-1.6937 -9.5525 1.3198
Sr Sn Nd
1 6 1
Direct
0.0000 0.0000 0.0000
0.0000 0.5000 0.2532
0.0000 0.5000 0.7468
0.5000 0.0000 0.7468
0.5000 0.5000 0.5000
0.5000 0.5000 0.0000
0.5000 0.0000 0.2532
0.0000 0.0000 0.5000
```

=====

Record 2
Below is a relaxed structure of Pr2IrO5, with properties calculated at the PBE level.

The space-group type is No. 107. For the uncorrected formation energy, the calculation gives -1.962 eV/atom.

The structure in POSCAR format:
```
Pr2IrO5
1.0
-1.2521 1.1631 5.3255
-3.0662 -4.6680 0.2988
4.9971 -0.0432 -1.7532
O Pr Ir
5 2 1
Direct
0.7524 0.7524 0.0043
0.2517 0.2517 0.0040
0.7523 0.7524 0.5048
0.2518 0.7524 0.0042
0.7524 0.2518 0.0042
0.7469 0.2469 0.4938
0.2470 0.7469 0.4938
0.0225 0.0225 0.0450
```

=====

Record 3
Below is a relaxed structure of Ca3Ge8Pd3, with properties calculated at the PBE level.

The space-group type is No. 12. As for the relative energy among the computed polymorphs: 0 meV/atom. Its formation energy from the elements is -46 kJ per mole of atoms.

The structure in POSCAR format:
```
Ca3Ge8Pd3
1.0
4.4978 0.0000 1.1864
1.5919 7.3379 3.0841
0.2422 -0.4207 8.2010
Pd Ge Ca
3 8 3
Direct
0.0000 0.5000 0.5000
0.6496 0.7021 0.9986
0.3504 0.2979 0.0014
0.3439 0.0347 0.2776
0.1444 0.5743 0.1369
0.6561 0.9653 0.7224
0.5045 0.3188 0.6722
0.8556 0.4257 0.8631
0.1433 0.1392 0.5742
0.4955 0.6812 0.3278
0.8567 0.8608 0.4258
0.7051 0.3051 0.2847
0.2949 0.6949 0.7153
0.0000 0.0000 0.0000
```

=====

Record 4
Below is a relaxed structure of ZnCo2Os2, with properties calculated at the PBE level.

The space-group type is No. 139. As for the relative energy among the computed polymorphs: 212 meV/atom. Its formation energy from the elements is 57 kJ per mole of atoms.

The structure in POSCAR format:
```
ZnCo2Os2
1.0
3.6408 0.0000 0.0000
0.0000 3.6408 0.0000
1.8204 1.8204 5.4535
Os Co Zn
2 2 1
Direct
0.7500 0.2500 0.5000
0.2500 0.7500 0.5000
0.5981 0.5981 0.8039
0.4019 0.4019 0.1961
0.0000 0.0000 0.0000
```

=====

Record 5
Below is a relaxed structure of TaMn2Cr, with properties calculated at the PBE level.

The space-group type is No. 65. Its formation energy from the elements is 67 kJ per mole of atoms.

The structure in POSCAR format:
```
TaMn2Cr
1.0
-3.2110 2.4716 0.4928
-3.0576 -3.6727 -1.5033
1.2656 0.9627 3.4213
Mn Cr Ta
2 1 1
Direct
0.0002 0.7703 0.5406
0.9998 0.2297 0.4594
0.5000 0.0000 0.0000
0.5000 0.5000 0.0000
```

=====

Record 6
Below is a relaxed structure of La2Be3SiNi12, with properties calculated at the PBE level.

The space-group type is No. 166. For the uncorrected formation energy, the calculation gives 0.090 eV/atom.

The structure in POSCAR format:
```
La2Be3SiNi12
1.0
7.1767 0.0179 0.0127
3.5598 6.2316 0.0127
3.5598 2.0721 5.8771
Ni Be La Si
12 3 2 1
Direct
0.1161 0.1161 0.6245
0.8839 0.8839 0.3755
0.6245 0.1161 0.1161
0.6507 0.0983 0.6507
0.0983 0.6507 0.6507
0.3755 0.8839 0.8839
0.1161 0.6245 0.1161
0.3493 0.3493 0.9017
0.3493 0.9017 0.3493
0.8839 0.3755 0.8839
0.9017 0.3493 0.3493
0.6507 0.6507 0.0983
0.0000 0.0000 0.5000
0.5000 0.0000 0.0000
0.0000 0.5000 0.0000
0.3856 0.3856 0.3856
0.6144 0.6144 0.6144
0.0000 0.0000 0.0000
```

=====

Record 7
Below is a relaxed structure of Zr5ZnCd2, with properties calculated at the PBE level.

The space-group type is No. 139. Its formation energy from the elements is -12 kJ per mole of atoms.

The structure in POSCAR format:
```
Zr5ZnCd2
1.0
-0.8500 4.0720 -1.2508
-4.1579 -1.0703 -0.6589
0.5830 0.7155 9.4757
Zn Zr Cd
1 5 2
Direct
0.0000 0.0000 0.0000
0.1211 0.6211 0.2422
0.3789 0.8789 0.7578
0.5000 0.5000 0.0000
0.6211 0.1211 0.2422
0.8789 0.3789 0.7578
0.2489 0.2489 0.4978
0.7511 0.7511 0.5022
```

=====

Record 8
Below is a relaxed structure of K2VCd, with properties calculated at the PBE level.

The space-group type is No. 122. Its formation energy from the elements is 83 kJ per mole of atoms.

The structure in POSCAR format:
```
K2VCd
1.0
9.6275 0.0000 0.0000
0.0000 9.6275 0.0000
4.8137 4.8137 3.1348
V Cd K
2 2 4
Direct
0.2500 0.7500 0.5000
0.5000 0.5000 0.0000
0.7500 0.2500 0.5000
0.0000 0.0000 0.0000
0.6344 0.1250 0.2500
0.3750 0.3656 0.7500
0.8750 0.8844 0.7500
0.1156 0.6250 0.2500
```

=====

Record 9
Below is a relaxed structure of Y4CO3, with properties calculated at the PBE level.

The space-group type is No. 13. For the uncorrected formation energy, the calculation gives -2.329 eV/atom.

The structure in POSCAR format:
```
Y4CO3
1.0
6.0099 0.0604 0.0000
-2.0494 5.6394 0.0000
0.0000 0.0000 6.9660
Y O C
8 6 2
Direct
0.5058 0.7539 0.6308
0.4942 0.2461 0.3692
0.5000 0.2444 0.8803
0.9942 0.2461 0.6308
0.5000 0.7556 0.1197
0.0058 0.7539 0.3692
0.0000 0.7556 0.8803
0.0000 0.2444 0.1197
0.7500 0.0000 0.3799
0.7500 0.5000 0.6189
0.2500 0.5000 0.8664
0.2500 0.5000 0.3811
0.7500 0.5000 0.1336
0.2500 0.0000 0.6201
0.2500 0.0000 0.1305
0.7500 0.0000 0.8695
```

=====

Record 10
Below is a relaxed structure of BeP2Os, with properties calculated at the PBE level.

The space-group type is No. 35. Its formation energy from the elements is 38 kJ per mole of atoms.

The structure in POSCAR format:
```
BeP2Os
1.0
2.7255 -0.0329 0.0000
-1.2729 2.4102 0.0000
0.0000 0.0000 8.9652
P Os Be
2 1 1
Direct
0.0000 0.0000 0.9462
0.5000 0.5000 0.3133
0.5000 0.5000 0.7281
0.0000 0.0000 0.5123
```

=====

Record 11
Below is a relaxed structure of Sm2HgOs, with properties calculated at the PBE level.

The space-group type is No. 225. As for the relative energy among the computed polymorphs: 96 meV/atom. Its formation energy from the elements is -17 kJ per mole of atoms.

The structure in POSCAR format:
```
Sm2HgOs
1.0
-3.4539 -3.4644 1.5055
1.5382 -4.3615 2.1931
-0.8285 -0.7869 4.9893
Sm Os Hg
2 1 1
Direct
0.7500 0.7500 0.7500
0.2500 0.2500 0.2500
0.5000 0.5000 0.5000
0.0000 0.0000 0.0000
```

=====

Record 12
Below is a relaxed structure of RbIn2Pt2, with properties calculated at the PBE level.

The space-group type is No. 139. As for the relative energy among the computed polymorphs: 44 meV/atom. Its formation energy from the elements is -32 kJ per mole of atoms.

The structure in POSCAR format:
```
RbIn2Pt2
1.0
-2.6567 3.7466 1.1535
-3.8331 -2.1907 -1.7129
-4.2172 -1.4643 4.7640
In Rb Pt
2 1 2
Direct
0.7500 0.2500 0.5000
0.2500 0.7500 0.5000
0.0000 0.0000 0.0000
0.3804 0.3804 0.2391
0.6196 0.6196 0.7609
```

=====

Record 13
Below is a relaxed structure of TaAlI2O, with properties calculated at the PBE level.

The space-group type is No. 123. For the uncorrected formation energy, the calculation gives -0.093 eV/atom. As for the relative energy among the computed polymorphs: 369 meV/atom.

The structure in POSCAR format:
```
TaAlI2O
1.0
5.6672 0.0000 0.0000
0.0000 5.6672 0.0000
0.0000 0.0000 3.4278
Ta Al I O
1 1 2 1
Direct
0.5000 0.5000 0.5000
0.0000 0.0000 0.0000
0.0000 0.5000 0.0000
0.5000 0.0000 0.0000
0.0000 0.0000 0.5000
```

=====

Record 14
Below is a relaxed structure of Cs3Np2US6, with properties calculated at the PBE level.

The space-group type is No. 12. For the uncorrected formation energy, the calculation gives -1.352 eV/atom.

The structure in POSCAR format:
```
Cs3Np2US6
1.0
7.1362 -0.0010 0.0003
-3.5672 6.1806 0.0003
-1.1901 -2.0606 8.0827
S Np U Cs
6 2 1 3
Direct
0.0602 0.3903 0.1804
0.9398 0.6097 0.8196
0.3903 0.0602 0.1804
0.2699 0.2699 0.8193
0.7301 0.7301 0.1807
0.6097 0.9398 0.8196
0.6666 0.3334 0.0000
0.3334 0.6666 0.0000
0.0000 0.0000 0.0000
0.8328 0.1672 0.5000
0.5000 0.5000 0.5000
0.1672 0.8328 0.5000
```

=====

Record 15
Below is a relaxed structure of TcIrBr2, with properties calculated at the PBE level.

The space-group type is No. 65. For the uncorrected formation energy, the calculation gives 1.089 eV/atom. As for the relative energy among the computed polymorphs: 923 meV/atom.

The structure in POSCAR format:
```
TcIrBr2
1.0
-2.8221 0.0379 1.3876
2.6312 -0.9472 1.4390
1.4768 8.3206 2.7766
Tc Br Ir
1 2 1
Direct
0.5000 0.5000 0.7500
0.0000 0.0000 0.9895
0.0000 0.0000 0.5105
0.5000 0.5000 0.2500
```

=====

Record 16
Below is a relaxed structure of AcTb3Tm4, with properties calculated at the PBE level.

The space-group type is No. 12. Its formation energy from the elements is 13 kJ per mole of atoms.

The structure in POSCAR format:
```
AcTb3Tm4
1.0
-1.3462 -2.4334 2.1744
8.6965 -0.7882 1.6500
-1.6777 2.0504 9.8397
Tb Tm Ac
3 4 1
Direct
0.0000 0.5000 0.5000
0.7391 0.2609 0.2609
0.2609 0.7391 0.7391
0.6554 0.1202 0.6031
0.6213 0.6031 0.1202
0.3446 0.8798 0.3969
0.3787 0.3969 0.8798
0.5000 0.0000 0.0000
```

=====

Record 17
Below is a relaxed structure of ZrBrN2, with properties calculated at the PBE level.

The space-group type is No. 122. For the uncorrected formation energy, the calculation gives 0.360 eV/atom. As for the relative energy among the computed polymorphs: 566 meV/atom.

The structure in POSCAR format:
```
ZrBrN2
1.0
5.7612 0.0000 0.0000
0.0000 5.7612 0.0000
2.8806 2.8806 5.2199
N Br Zr
4 2 2
Direct
0.7504 0.1250 0.2500
0.9996 0.6250 0.2500
0.3750 0.2496 0.7500
0.8750 0.0004 0.7500
0.5000 0.5000 0.0000
0.2500 0.7500 0.5000
0.0000 0.0000 0.0000
0.7500 0.2500 0.5000
```

=====

Record 18
Below is a relaxed structure of Li5Zn2Bi5, with properties calculated at the PBE level.

The space-group type is No. 12. Its formation energy from the elements is -21 kJ per mole of atoms.

The structure in POSCAR format:
```
Li5Zn2Bi5
1.0
-3.2451 2.8959 1.8977
-0.8372 -5.9375 1.6961
7.6645 3.4921 7.7775
Zn Bi Li
2 5 5
Direct
0.8936 0.7872 0.2034
0.1064 0.2128 0.7966
0.2524 0.5048 0.2019
0.0841 0.1681 0.3946
0.7476 0.4952 0.7981
0.9159 0.8319 0.6054
0.0000 0.0000 0.0000
0.5000 0.0000 0.5000
0.2630 0.5261 0.6199
0.3486 0.6972 0.9704
0.6514 0.3028 0.0296
0.7370 0.4739 0.3801
```

=====

Record 19
Below is a relaxed structure of PbSBrO4, with properties calculated at the PBE level.

The space-group type is No. 12. For the uncorrected formation energy, the calculation gives -1.174 eV/atom.

The structure in POSCAR format:
```
PbSBrO4
1.0
-3.6906 3.7296 -6.0431
0.8782 0.8632 -7.9078
-3.9840 -4.3918 -3.0104
O S Pb Br
8 2 2 2
Direct
0.5344 0.1114 0.1053
0.7632 0.7632 0.5670
0.1114 0.5344 0.1053
0.4656 0.8886 0.8947
0.2368 0.2368 0.4330
0.5909 0.5909 0.6913
0.8886 0.4656 0.8947
0.4091 0.4091 0.3087
0.6745 0.6745 0.7596
0.3255 0.3255 0.2404
0.6947 0.6947 0.2660
0.3053 0.3053 0.7340
0.0334 0.0334 0.3163
0.9666 0.9666 0.6837
```

=====

Record 20
Below is a relaxed structure of Sn2AsRhSe, with properties calculated at the PBE level.

The space-group type is No. 123. For the uncorrected formation energy, the calculation gives 0.973 eV/atom.

The structure in POSCAR format:
```
Sn2AsRhSe
1.0
5.3536 0.0000 0.0000
0.0000 4.8989 0.0000
0.0000 0.0000 5.3536
Sn Rh Se As
2 1 1 1
Direct
0.5000 0.0000 0.0000
0.0000 0.0000 0.5000
0.5000 0.5000 0.5000
0.0000 0.0000 0.0000
0.0000 0.5000 0.0000
```

=====

| no. | mass density (Mg/m³) |
| --- | --- |
| 1 | 7.00 |
| 2 | 8.35 |
| 3 | 6.19 |
| 4 | 12.95 |
| 5 | 9.87 |
| 6 | 6.57 |
| 7 | 7.29 |
| 8 | 2.76 |
| 9 | 5.83 |
| 10 | 7.41 |
| 11 | 12.11 |
| 12 | 9.32 |
| 13 | 7.21 |
| 14 | 6.07 |
| 15 | 10.19 |
| 16 | 8.62 |
| 17 | 3.82 |
| 18 | 6.56 |
| 19 | 4.75 |
| 20 | 5.84 |